1.
Below is an optimized crystal structure of B3C, with properties calculated at the PBE level.

a = 5.731 Å, b = 5.731 Å, c = 5.644 Å
α = 77.98°, β = 77.98°, γ = 28.03°
Fractional coordinates of all 12 atoms:
C1 0.431 0.431 0.038
C2 0.079 0.079 0.663
C3 0.740 0.740 0.892
B1 0.660 0.660 0.692
B2 0.301 0.301 0.933
B3 0.293 0.293 0.257
B4 0.424 0.424 0.353
B5 0.116 0.116 0.361
B6 0.976 0.976 0.910
B7 0.701 0.701 0.209
B8 0.968 0.968 0.490
B9 0.809 0.809 0.452

Results
SG: Cm

---

2.
Below is an optimized crystal structure of BC, with properties calculated at the PBE level.

a = 6.644 Å, b = 6.644 Å, c = 5.113 Å
α = 101.17°, β = 101.17°, γ = 21.21°
Fractional coordinates of all 12 atoms:
C1 0.668 0.668 0.830
C2 0.595 0.595 0.036
C3 0.916 0.916 0.718
C4 0.593 0.593 0.559
C5 0.250 0.250 0.382
C6 0.238 0.238 0.868
B1 0.012 0.012 0.982
B2 0.006 0.006 0.525
B3 0.660 0.660 0.332
B4 0.318 0.318 0.152
B5 0.917 0.917 0.200
B6 0.327 0.327 0.667

Results
SG: Cm

---

3.
Below is an optimized crystal structure of B7C5, with properties calculated at the PBE level.

a = 4.437 Å, b = 4.437 Å, c = 8.870 Å
α = 121.16°, β = 121.16°, γ = 33.24°
Fractional coordinates of all 12 atoms:
C1 0.810 0.810 0.537
C2 0.156 0.156 0.697
C3 0.527 0.527 0.887
C4 0.974 0.974 0.518
C5 0.021 0.021 0.976
B1 0.647 0.647 0.803
B2 0.323 0.323 0.668
B3 0.454 0.454 0.393
B4 0.632 0.632 0.328
B5 0.898 0.898 0.059
B6 0.377 0.377 0.179
B7 0.180 0.180 0.205

Results
SG: Cm

---

4.
Below is an optimized crystal structure of BC, with properties calculated at the PBE level.

a = 7.269 Å, b = 7.813 Å, c = 7.813 Å
α = 161.25°, β = 143.88°, γ = 41.34°
Fractional coordinates of all 12 atoms:
B1 0.482 0.848 0.634
B2 0.029 0.337 0.692
B3 0.455 0.151 0.303
B4 0.571 0.279 0.292
B5 0.646 0.612 0.033
B6 0.986 0.973 0.013
C1 0.164 0.166 0.998
C2 0.637 0.962 0.675
C3 0.085 0.789 0.296
C4 0.017 0.682 0.335
C5 0.522 0.497 0.025
C6 0.155 0.452 0.703

Results
SG: Cm

---

5.
Below is an optimized crystal structure of B7C5, with properties calculated at the PBE level.

a = 2.696 Å, b = 4.439 Å, c = 7.447 Å
α = 98.04°, β = 90.00°, γ = 90.00°
Fractional coordinates of all 12 atoms:
C1 0.500 0.664 0.695
C2 0.000 0.207 0.824
C3 0.500 0.816 0.364
C4 0.000 0.006 0.991
C5 0.500 0.549 0.487
B1 0.500 0.829 0.017
B2 0.000 0.856 0.746
B3 0.000 0.390 0.408
B4 0.000 0.979 0.345
B5 0.000 0.272 0.166
B6 0.500 0.562 0.161
B7 0.500 0.368 0.796

Results
SG: Pm

---

6.
Below is an optimized crystal structure of B3C2, with properties calculated at the PBE level.

a = 4.750 Å, b = 4.750 Å, c = 4.750 Å
α = 97.38°, β = 97.38°, γ = 137.99°
Fractional coordinates of all 10 atoms:
B1 0.530 0.530 0.000
B2 0.398 0.069 0.822
B3 0.319 0.997 0.171
B4 0.247 0.576 0.178
B5 0.780 0.280 0.500
B6 0.826 0.148 0.829
C1 0.973 0.910 0.308
C2 0.602 0.665 0.692
C3 0.160 0.352 0.437
C4 0.915 0.723 0.563

Results
SG: I4_1

---

7.
Below is an optimized crystal structure of BC, with properties calculated at the PBE level.

a = 7.193 Å, b = 7.305 Å, c = 7.305 Å
α = 159.64°, β = 141.91°, γ = 43.64°
Fractional coordinates of all 12 atoms:
C1 0.512 0.157 0.355
C2 0.505 0.503 0.002
C3 0.619 0.620 0.000
C4 0.623 0.965 0.658
C5 0.094 0.790 0.304
C6 0.148 0.464 0.684
B1 0.061 0.344 0.716
B2 0.584 0.273 0.311
B3 0.976 0.978 0.998
B4 0.174 0.140 0.034
B5 0.977 0.672 0.305
B6 0.477 0.844 0.633

Results
SG: Cm

---

8.
Below is an optimized crystal structure of B9C, with properties calculated at the PBE level.

a = 4.564 Å, b = 4.564 Å, c = 4.564 Å
α = 101.37°, β = 101.37°, γ = 127.27°
Fractional coordinates of all 10 atoms:
B1 0.293 0.803 0.412
B2 0.991 0.681 0.988
B3 0.467 0.294 0.701
B4 0.519 0.907 0.110
B5 0.634 0.733 0.427
B6 0.906 0.007 0.973
B7 0.193 0.566 0.699
B8 0.800 0.400 0.200
B9 0.397 0.209 0.290
C1 0.050 0.150 0.700

Results
SG: I-4

---

no.,energy above the most stable polymorph in this dataset (meV per atom),energy of formation from the pure elements (eV per formula unit),magnetization (μB/f.u.)
1,149,1.6,0.00
2,292,0.9,0.00
3,191,4.3,0.00
4,275,0.9,0.00
5,229,4.7,0.00
6,298,2.5,0.00
7,225,0.8,0.00
8,150,3.9,0.00